First-principles (PBE with a Hubbard U) data for a relaxed structure of NaCrW2O8, as listed in the Alexandria database.

Unit cell a=5.9996 b=5.9996 c=5.9996 alpha=107.71 beta=107.71 gamma=113.06
Positions (direct):
1 Na 0.0000 0.0000 0.0000
2 Cr 0.2500 0.7500 0.5000
3 W 0.5000 0.5000 0.0000
4 W 0.7500 0.2500 0.5000
5 O 0.3420 0.1304 0.7884
6 O 0.3420 0.5536 0.2116
7 O 0.3790 0.0759 0.3031
8 O 0.4464 0.6580 0.7884
9 O 0.7728 0.0759 0.6969
10 O 0.8696 0.6580 0.2116
11 O 0.9241 0.2272 0.3031
12 O 0.9241 0.6210 0.6969

Summary:
ΔE to the lowest computed polymorph ... 346.1 meV per atom
E ... -6.900 eV/atom
Space-group type ... I-4m2